# 1
## PrGa3Rh3 (PBE)

Data for a relaxed structure of PrGa3Rh3.

Results
The energy relative to the elements comes out at -12.06 kcal/mol of atoms. As for the raw total energy: -79.2 eV/cell. As for the density: 8.73 g cm⁻³.

Structure (POSCAR):
```
PrGa3Rh3
1.0
3.375 1.949 6.353
-3.375 1.949 6.353
0.000 -3.897 6.353
Pr Ga Rh
2 6 6
Direct
0.161 0.161 0.161
0.839 0.839 0.839
0.045 0.599 0.238
0.238 0.045 0.599
0.401 0.762 0.955
0.599 0.238 0.045
0.762 0.955 0.401
0.955 0.401 0.762
0.190 0.671 0.422
0.329 0.578 0.810
0.422 0.190 0.671
0.578 0.810 0.329
0.671 0.422 0.190
0.810 0.329 0.578
```

---

# 2
## LaTeSe (PBE)

Data for a relaxed structure of LaTeSe.

Results
As for the raw total energy: -15.1 eV/cell. The value obtained for the raw formation energy is -1.1819 eV per atom. As for the density: 5.23 g cm⁻³.

Structure (POSCAR):
```
LaTeSe
1.0
4.669 0.000 0.000
-2.335 4.044 0.000
0.000 0.000 5.811
La Te Se
1 1 1
Direct
0.000 0.000 0.000
0.333 0.667 0.690
0.667 0.333 0.214
```

---

Total magnetic moment list, top to bottom, in μB per formula unit: 0.0; 0.0